No. 1
# Nb3PdRh

An optimized crystal structure of Nb3PdRh (PBE-GGA, Alexandria).

Lattice parameters (Å, degrees): 4.8972 5.6636 6.7268 90.00 108.61 90.00
Closest atoms and distances in Å follow each position.
Positions (direct):
Nb  0.1150  0.2500  0.4928  1 Rh 2.59, 1 Pd 2.67, 4 Nb 2.79-2.82
Nb  0.1855  0.5013  0.8680  2 Rh 2.69-2.76, 5 Nb 2.79-2.92, 2 Pd 2.81-2.89
Nb  0.1855  0.9987  0.8680  2 Rh 2.69-2.76, 5 Nb 2.79-2.92, 2 Pd 2.81-2.89
Nb  0.8145  0.0013  0.1320  2 Rh 2.69-2.76, 5 Nb 2.79-2.92, 2 Pd 2.81-2.89
Nb  0.8145  0.4987  0.1320  2 Rh 2.69-2.76, 5 Nb 2.79-2.92, 2 Pd 2.81-2.89
Nb  0.8850  0.7500  0.5072  1 Rh 2.59, 1 Pd 2.67, 4 Nb 2.79-2.82
Pd  0.3360  0.7500  0.2631  5 Nb 2.67-2.89, 2 Rh 2.87
Pd  0.6640  0.2500  0.7369  5 Nb 2.67-2.89, 2 Rh 2.87
Rh  0.4120  0.2500  0.2359  5 Nb 2.59-2.76, 2 Pd 2.87
Rh  0.5880  0.7500  0.7641  5 Nb 2.59-2.76, 2 Pd 2.87

Output
* formation energy: -0.006 eV/atom
* size of the total moment: 0.000 μB per atom
* final energy: -85.6 eV for the cell shown
* energy above the lowest structure with this stoichiometry: 0.0 kJ per mole of atoms
* space-group type: P2_1/m, No. 11

---

No. 2
# NbPdRuRh

An optimized crystal structure of NbPdRuRh (PBE-GGA, Alexandria).

Lattice parameters (Å, degrees): 3.8232 3.9262 4.0210 90.00 90.00 90.00
Closest atoms and distances in Å follow each position.
Positions (direct):
Nb  0.0000  0.0000  0.0000  4 Ru 2.74, 4 Rh 2.77, 4 Pd 2.81
Pd  0.0000  0.5000  0.5000  4 Rh 2.74, 4 Ru 2.77, 4 Nb 2.81
Ru  0.5000  0.5000  0.0000  4 Nb 2.74, 4 Pd 2.77, 4 Rh 2.81
Rh  0.5000  0.0000  0.5000  4 Pd 2.74, 4 Nb 2.77, 4 Ru 2.81

Output
* formation energy: -0.324 eV/atom
* size of the total moment: 0.000 μB per atom
* final energy: -33.2 eV for the cell shown
* space-group type: Pmmm, No. 47

---

No. 3
# Nb2Pd2RhS6

An optimized crystal structure of Nb2Pd2RhS6 (PBE-GGA, Alexandria).

Lattice parameters (Å, degrees): 6.1498 6.1498 6.2356 93.81 93.81 123.83
Closest atoms and distances in Å follow each position.
Positions (direct):
Nb  0.1333  0.8667  0.0000  6 S 2.46-2.67
Nb  0.8667  0.1333  0.0000  6 S 2.46-2.67
Pd  0.1454  0.8546  0.5000  4 S 2.40-2.56
Pd  0.8546  0.1454  0.5000  4 S 2.40-2.56
Rh  0.5000  0.5000  0.0000  6 S 2.42-2.53
S  0.1548  0.4919  0.7826  1 Pd 2.40, 1 Rh 2.42, 2 Nb 2.49-2.67
S  0.2196  0.2196  0.2761  2 Nb 2.46, 1 Rh 2.53, 2 Pd 2.56
S  0.4919  0.1548  0.7826  1 Pd 2.40, 1 Rh 2.42, 2 Nb 2.49-2.67
S  0.5081  0.8452  0.2174  1 Pd 2.40, 1 Rh 2.42, 2 Nb 2.49-2.67
S  0.7804  0.7804  0.7239  2 Nb 2.46, 1 Rh 2.53, 2 Pd 2.56
S  0.8452  0.5081  0.2174  1 Pd 2.40, 1 Rh 2.42, 2 Nb 2.49-2.67

Output
* size of the total moment: 0.000 μB per atom
* final energy: -69.4 eV for the cell shown
* space-group type: C2/m, No. 12
* energy relative to the elements, uncorrected: -14.2 kcal/mol of atoms

---

No. 4
# NbPd2RhS

An optimized crystal structure of NbPd2RhS (PBE-GGA, Alexandria).

Lattice parameters (Å, degrees): 4.8685 4.8685 4.6730 90.00 90.00 90.00
Closest atoms and distances in Å follow each position.
Positions (direct):
Nb  0.0000  0.0000  0.0000  2 Rh 2.34, 4 Pd 2.43
Pd  0.0000  0.5000  0.0000  2 Nb 2.43
Pd  0.5000  0.0000  0.0000  2 Nb 2.43
Rh  0.0000  0.0000  0.5000  2 Nb 2.34
S  0.5000  0.5000  0.5000  8 Pd 3.37, 4 Rh 3.44

Output
* size of the total moment: 0.000 μB per atom
* final energy: -26.2 eV for the cell shown
* space-group type: P4/mmm, No. 123
* energy relative to the elements, uncorrected: 26.4 kcal/mol of atoms

---

Q: Which of these has the lowest final energy?
A: Nb3PdRh